[1]
An optimized crystal structure of Rb2YCdCl6. Source: OQMD via LeMat-Bulk, functional PBE.

space group: Fm-3m, No. 225

abc: 7.748 7.748 7.748
angles: 60.00 60.00 60.00
Positions (direct):
Cd (0.500, 0.500, 0.500)
Cl (0.240, 0.760, 0.240)
Cl (0.760, 0.760, 0.240)
Cl (0.760, 0.240, 0.240)
Cl (0.760, 0.240, 0.760)
Cl (0.240, 0.240, 0.760)
Cl (0.240, 0.760, 0.760)
Rb (0.250, 0.250, 0.250)
Rb (0.750, 0.750, 0.750)
Y (0.000, 0.000, 0.000)



[2]
An optimized crystal structure of Cd3S2Cl2. Source: OQMD via LeMat-Bulk, functional PBE.

space group: I2_13, No. 199

abc: 7.795 7.795 7.795
angles: 109.47 109.47 109.47
Positions (direct):
Cd (0.918, 0.250, 0.168)
Cd (0.168, 0.918, 0.250)
Cd (0.582, 0.750, 0.332)
Cd (0.750, 0.332, 0.582)
Cd (0.332, 0.582, 0.750)
Cd (0.250, 0.168, 0.918)
Cl (0.022, 0.500, 0.000)
Cl (0.500, 0.000, 0.022)
Cl (0.478, 0.478, 0.478)
Cl (0.000, 0.022, 0.500)
S (0.533, 0.500, 0.000)
S (0.000, 0.533, 0.500)
S (0.500, 0.000, 0.533)
S (0.967, 0.967, 0.967)



[3]
An optimized crystal structure of CdSbS2Cl. Source: OQMD via LeMat-Bulk, functional PBE.

space group: Pnma, No. 62

abc: 9.634 3.953 12.597
angles: 90.00 90.00 90.00
Positions (direct):
Cd (0.499, 0.750, 0.231)
Cd (0.999, 0.750, 0.269)
Cd (0.001, 0.250, 0.731)
Cd (0.501, 0.250, 0.769)
Cl (0.573, 0.250, 0.106)
Cl (0.073, 0.250, 0.394)
Cl (0.927, 0.750, 0.606)
Cl (0.427, 0.750, 0.894)
S (0.947, 0.250, 0.110)
S (0.240, 0.750, 0.165)
S (0.740, 0.750, 0.335)
S (0.447, 0.250, 0.390)
S (0.553, 0.750, 0.610)
S (0.260, 0.250, 0.665)
S (0.760, 0.250, 0.835)
S (0.053, 0.750, 0.890)
Sb (0.185, 0.250, 0.031)
Sb (0.685, 0.250, 0.469)
Sb (0.315, 0.750, 0.531)
Sb (0.815, 0.750, 0.969)



[4]
An optimized crystal structure of ScTl2CdCl6. Source: OQMD via LeMat-Bulk, functional PBE.

space group: Fm-3m, No. 225

abc: 7.485 7.485 7.485
angles: 60.00 60.00 60.00
Positions (direct):
Cd (0.000, 0.000, 0.000)
Cl (0.265, 0.735, 0.265)
Cl (0.735, 0.265, 0.265)
Cl (0.735, 0.735, 0.265)
Cl (0.265, 0.265, 0.735)
Cl (0.735, 0.265, 0.735)
Cl (0.265, 0.735, 0.735)
Sc (0.500, 0.500, 0.500)
Tl (0.250, 0.250, 0.250)
Tl (0.750, 0.750, 0.750)



[5]
An optimized crystal structure of CdSe6Cl2. Source: OQMD via LeMat-Bulk, functional PBE.

space group: P2_1/c, No. 14

abc: 4.204 9.268 13.181
angles: 90.00 94.55 90.00
Positions (direct):
Cd (0.000, 0.000, 0.000)
Cd (0.000, 0.500, 0.500)
Cl (0.519, 0.005, 0.134)
Cl (0.481, 0.505, 0.366)
Cl (0.519, 0.495, 0.634)
Cl (0.481, 0.995, 0.866)
Se (0.835, 0.289, 0.001)
Se (0.925, 0.616, 0.143)
Se (0.148, 0.383, 0.146)
Se (0.852, 0.883, 0.354)
Se (0.075, 0.116, 0.357)
Se (0.165, 0.789, 0.499)
Se (0.835, 0.211, 0.501)
Se (0.925, 0.884, 0.643)
Se (0.148, 0.117, 0.646)
Se (0.852, 0.617, 0.854)
Se (0.075, 0.384, 0.857)
Se (0.165, 0.711, 0.999)



[6]
An optimized crystal structure of Cd3Se2Cl2. Source: OQMD via LeMat-Bulk, functional PBE.

space group: I2_13, No. 199

abc: 7.895 7.895 7.895
angles: 109.47 109.47 109.47
Positions (direct):
Cd (0.912, 0.250, 0.162)
Cd (0.162, 0.912, 0.250)
Cd (0.588, 0.750, 0.338)
Cd (0.750, 0.338, 0.588)
Cd (0.338, 0.588, 0.750)
Cd (0.250, 0.162, 0.912)
Cl (0.034, 0.500, 0.000)
Cl (0.500, 0.000, 0.034)
Cl (0.466, 0.466, 0.466)
Cl (0.000, 0.034, 0.500)
Se (0.552, 0.500, 0.000)
Se (0.000, 0.552, 0.500)
Se (0.500, 0.000, 0.552)
Se (0.948, 0.948, 0.948)



[7]
An optimized crystal structure of SmCdCl3. Source: OQMD via LeMat-Bulk, functional PBE.

space group: P-6c2, No. 188

abc: 7.217 7.195 7.195
angles: 59.98 90.00 90.00
Positions (direct):
Cd (0.000, 0.333, 0.333)
Cd (0.500, 0.333, 0.333)
Cl (0.750, 0.840, 0.324)
Cl (0.250, 0.836, 0.324)
Cl (0.750, 0.324, 0.836)
Cl (0.250, 0.840, 0.836)
Cl (0.250, 0.324, 0.840)
Cl (0.750, 0.836, 0.840)
Sm (0.000, 0.000, 0.000)
Sm (0.500, 0.000, 0.000)



[8]
An optimized crystal structure of Cd6SnCl. Source: OQMD via LeMat-Bulk, functional PBE.

space group: R-3, No. 148

abc: 5.822 5.822 5.822
angles: 97.02 97.02 97.02
Positions (direct):
Cd (0.753, 0.497, 0.060)
Cd (0.503, 0.940, 0.247)
Cd (0.060, 0.753, 0.497)
Cd (0.940, 0.247, 0.503)
Cd (0.497, 0.060, 0.753)
Cd (0.247, 0.503, 0.940)
Cl (0.500, 0.500, 0.500)
Sn (0.000, 0.000, 0.000)



Table of DFT total energy (eV per atom), in record order: -3.8012 -2.8569 -3.6022 -3.6021 -3.1203 -2.6720 -3.8685 -1.4612